# 1
# RbNa3SnO4

A relaxed RbNa3SnO4 crystal (PBEsol, Alexandria).

Computed properties:
N(E_F) (states/eV per atom): 0.000
Energy relative to the elements, uncorrected (eV/atom): -1.543
DFT total energy (eV per atom): -4.930
Magnetic moment (Bohr magnetons per cell): 1.2
Space group: I4_1/a

a b c (Å): 11.762 11.762 11.762
angles (deg): 100.19 114.30 114.30
Positions (direct):
Na (0.691, 0.349, 0.720)
Na (0.638, 0.082, 0.448)
Na (0.309, 0.029, 0.658)
Na (0.321, 0.523, 0.162)
Na (0.179, 0.227, 0.088)
Na (0.862, 0.668, 0.802)
Na (0.371, 0.342, 0.651)
Na (0.129, 0.408, 0.599)
Na (0.362, 0.811, 0.444)
Na (0.191, 0.721, 0.592)
Na (0.139, 0.912, 0.091)
Na (0.821, 0.909, 0.048)
Na (0.809, 0.401, 0.530)
Na (0.639, 0.798, 0.477)
Na (0.366, 0.556, 0.918)
Na (0.866, 0.198, 0.061)
Na (0.134, 0.194, 0.332)
Na (0.629, 0.280, 0.971)
Na (0.861, 0.952, 0.773)
Na (0.679, 0.841, 0.202)
Na (0.361, 0.838, 0.159)
Na (0.871, 0.470, 0.279)
Na (0.634, 0.552, 0.189)
Na (0.138, 0.939, 0.806)
O (0.406, 0.636, 0.391)
O (0.389, 0.390, 0.079)
O (0.611, 0.690, 0.001)
O (0.255, 0.141, 0.235)
O (0.269, 0.122, 0.500)
O (0.075, 0.838, 0.581)
O (0.231, 0.628, 0.750)
O (0.769, 0.519, 0.397)
O (0.743, 0.237, 0.162)
O (0.689, 0.999, 0.610)
O (0.425, 0.912, 0.669)
O (0.878, 0.250, 0.481)
O (0.311, 0.921, 0.310)
O (0.889, 0.060, 0.249)
O (0.811, 0.751, 0.640)
O (0.755, 0.770, 0.364)
O (0.111, 0.360, 0.171)
O (0.245, 0.609, 0.015)
O (0.243, 0.331, 0.757)
O (0.622, 0.500, 0.769)
O (0.925, 0.507, 0.763)
O (0.378, 0.147, 0.878)
O (0.906, 0.765, 0.020)
O (0.745, 0.980, 0.886)
O (0.122, 0.603, 0.372)
O (0.594, 0.985, 0.230)
O (0.189, 0.829, 0.940)
O (0.731, 0.231, 0.853)
O (0.757, 0.513, 0.088)
O (0.257, 0.419, 0.493)
O (0.575, 0.243, 0.487)
O (0.094, 0.114, 0.859)
Rb (0.010, 0.059, 0.523)
Rb (0.490, 0.691, 0.727)
Rb (0.990, 0.513, 0.049)
Rb (0.536, 0.477, 0.487)
Rb (0.464, 0.951, 0.941)
Rb (0.036, 0.799, 0.309)
Rb (0.510, 0.237, 0.201)
Rb (0.964, 0.273, 0.763)
Sn (0.214, 0.498, 0.359)
Sn (0.639, 0.034, 0.748)
Sn (0.361, 0.109, 0.395)
Sn (0.861, 0.716, 0.502)
Sn (0.786, 0.145, 0.284)
Sn (0.714, 0.605, 0.966)
Sn (0.286, 0.252, 0.891)
Sn (0.139, 0.641, 0.855)

# 2
# Mn2MoRu

A relaxed Mn2MoRu crystal (PBEsol, Alexandria).

Computed properties:
N(E_F) (states/eV per atom): 1.194
DFT total energy (eV per atom): -10.184
Magnetic moment (Bohr magnetons per cell): 2.0
Space group: Cmmm

a b c (Å): 2.657 4.442 4.442
angles (deg): 106.86 89.98 89.98
Positions (direct):
Mo (0.500, 0.500, 0.500)
Mn (0.000, 0.000, 0.500)
Mn (0.000, 0.500, 0.000)
Ru (0.500, 0.000, 0.000)

# 3
# La5Sc

A relaxed La5Sc crystal (PBEsol, Alexandria).

Computed properties:
N(E_F) (states/eV per atom): 1.791
DFT total energy (eV per atom): -5.493
Magnetic moment (Bohr magnetons per cell): 0.0
Space group: P-6m2
Energy above the most stable polymorph in this dataset (eV/atom): 0.017

a b c (Å): 3.560 3.560 17.616
angles (deg): 90.00 90.00 120.00
Positions (direct):
La (0.333, 0.667, 0.828)
La (0.000, 0.000, 0.347)
La (0.000, 0.000, 0.000)
La (0.333, 0.667, 0.172)
La (0.000, 0.000, 0.653)
Sc (0.333, 0.667, 0.500)

# 4
# Li2TcPt

A relaxed Li2TcPt crystal (PBEsol, Alexandria).

Computed properties:
N(E_F) (states/eV per atom): 0.837
DFT total energy (eV per atom): -5.236
Magnetic moment (Bohr magnetons per cell): 2.4
Space group: Fm-3m
Energy above the most stable polymorph in this dataset (eV/atom): 0.365

a b c (Å): 4.142 4.142 4.142
angles (deg): 60.00 60.00 60.00
Positions (direct):
Tc (0.500, 0.500, 0.500)
Pt (0.000, 0.000, 0.000)
Li (0.250, 0.250, 0.250)
Li (0.750, 0.750, 0.750)